Computed, not measured: crystalline CaTb2Ho at its relaxed geometry at the PBE-GGA level of DFT.

Fermi-level density of states (states/eV per cell): 7.6
Offset from the most stable computed form (meV per atom): 106
Magnetic moment (μB/atom): 0.00
Volume (Å³/cell): 133.8
E_form (eV per atom): 0.164

a b c (Å): 5.7411 5.7411 5.7411
angles (deg): 60.00 60.00 60.00
With the nearest neighbours (Å) after each atom.
Positions (direct):
Tb1 0.2500 0.2500 0.2500  4 Ho 3.52, 4 Ca 3.52
Tb2 0.7500 0.7500 0.7500  4 Ho 3.52, 4 Ca 3.52
Ca1 0.5000 0.5000 0.5000  8 Tb 3.52
Ho1 0.0000 0.0000 0.0000  8 Tb 3.52

Computed, not measured: crystalline NiAg2S at its relaxed geometry at the PBE-GGA level of DFT.

Fermi-level density of states (states/eV per cell): 3.0
Formation energy from raw total energies (meV/atom): 402.5
Magnetic moment (μB/atom): 0.00
Volume (Å³/cell): 136.9

a b c (Å): 7.2940 7.2940 5.7638
angles (deg): 50.75 50.75 90.00
With the nearest neighbours (Å) after each atom.
Positions (direct):
Ag1 0.8750 0.8623 0.7500  2 Ag 2.58, 2 S 2.60, 2 Ni 2.72
Ag2 0.1377 0.6250 0.2500  2 Ag 2.58, 2 S 2.60, 2 Ni 2.72
Ag3 0.6123 0.1250 0.2500  2 Ag 2.58, 2 S 2.60, 2 Ni 2.72
Ag4 0.3750 0.3877 0.7500  2 Ag 2.58, 2 S 2.60, 2 Ni 2.72
Ni1 0.7500 0.2500 0.5000  2 S 2.57, 4 Ag 2.72
Ni2 0.0000 0.0000 0.0000  2 S 2.57, 4 Ag 2.72
S1 0.2500 0.7500 0.5000  2 Ni 2.57, 4 Ag 2.60
S2 0.5000 0.5000 0.0000  2 Ni 2.57, 4 Ag 2.60

Computed, not measured: crystalline Pm4Ni2I5 at its relaxed geometry at the PBE-GGA level of DFT.

Fermi-level density of states (states/eV per cell): 6.2
Offset from the most stable computed form (meV per atom): 0
Formation energy from raw total energies (meV/atom): -872.1
Magnetic moment (μB/atom): 0.00
Volume (Å³/cell): 421.6

a b c (Å): 4.1452 8.8067 11.7729
angles (deg): 94.77 100.14 90.00
With the nearest neighbours (Å) after each atom.
Positions (direct):
Pm1 0.6549 0.5495 0.3098  1 Ni 2.49
Pm2 0.3451 0.4505 0.6902  1 Ni 2.49
Pm3 0.0136 0.7012 0.0272  4 Ni 2.89-2.99
Pm4 0.9864 0.2988 0.9728  4 Ni 2.89-2.99
I1 0.2013 0.3157 0.4025  3 Pm 3.17-3.44
I2 0.1519 0.8247 0.3038  3 Pm 3.19-3.30
I3 0.7987 0.6843 0.5975  3 Pm 3.17-3.44
I4 0.8481 0.1753 0.6962  3 Pm 3.19-3.30
I5 0.5000 0.0000 0.0000  4 Pm 3.39
Ni1 0.4525 0.5023 0.9051  1 Ni 2.20
Ni2 0.5475 0.4977 0.0949  1 Ni 2.20

Computed, not measured: crystalline La2NbSe6 at its relaxed geometry at the PBE-GGA level of DFT.

Fermi-level density of states (states/eV per cell): 10.6
Formation energy from raw total energies (meV/atom): -1336.9
Magnetic moment (μB/atom): 0.00
Volume (Å³/cell): 472.8

a b c (Å): 6.3727 7.9137 9.3791
angles (deg): 90.00 91.75 90.00
With the nearest neighbours (Å) after each atom.
Positions (direct):
La1 0.0529 0.6147 0.2564  8 Se 3.03-3.16
La2 0.4471 0.1147 0.2436  8 Se 3.03-3.16
La3 0.5529 0.8853 0.7564  8 Se 3.03-3.16
La4 0.9471 0.3853 0.7436  8 Se 3.03-3.16
Se1 0.8437 0.7022 0.5480  1 Nb 2.60
Se2 0.3437 0.7978 0.0480  1 Nb 2.60
Se3 0.1560 0.3347 0.0489  1 Nb 2.61
Se4 0.6563 0.2022 0.9520  1 Nb 2.60
Se5 0.0929 0.0202 0.7693  1 Nb 2.58
Se6 0.5929 0.4798 0.2693  1 Nb 2.58
Se7 0.1563 0.2978 0.4520  1 Nb 2.60
Se8 0.9071 0.9798 0.2307  1 Nb 2.58
Se9 0.3440 0.8347 0.4511  1 Nb 2.61
Se10 0.4071 0.5202 0.7307  1 Nb 2.58
Se11 0.6560 0.1653 0.5489  1 Nb 2.61
Se12 0.8440 0.6653 0.9511  1 Nb 2.61
Nb1 0.5000 0.5000 0.0000  6 Se 2.58-2.61
Nb2 0.0000 0.0000 0.5000  6 Se 2.58-2.61

Q: Look up the Fermi-level density of states of the first one.
A: 7.6 states/eV per cell

Q: volume of number 4 (La2NbSe6)?
A: 472.8 Å³/cell